Entry 1:
DFT (PBE) results for a relaxed VCr2TcAu crystal.

Cell lengths 4.2380, 4.4381, 4.2380 Å; angles 90.00, 90.00, 90.00 degrees
Last column: nearest neighbours and their distance in Å.
Positions (direct):
1 Tc 0.0000 0.5000 0.0000  2 V 2.22
2 V 0.0000 0.0000 0.0000  4 Cr 2.12, 2 Tc 2.22
3 Au 0.5000 0.5000 0.5000  4 Tc 3.00, 8 Cr 3.07
4 Cr 0.0000 0.0000 0.5000  2 V 2.12
5 Cr 0.5000 0.0000 0.0000  2 V 2.12

Computed properties:
- DOS at the Fermi energy: 9.753 states/eV/f.u.
- Formation enthalpy at 0 K: 1.192 eV per atom

---

Entry 2:
DFT (PBE) results for a relaxed HoPuCuPb crystal.

Cell lengths 5.2227, 5.2227, 5.2227 Å; angles 60.00, 60.00, 60.00 degrees
Last column: nearest neighbours and their distance in Å.
Positions (direct):
1 Ho 0.5000 0.5000 0.5000  4 Cu 3.20, 4 Pb 3.20
2 Cu 0.2500 0.2500 0.2500  4 Pu 3.20, 4 Ho 3.20
3 Pu 0.0000 0.0000 0.0000  4 Pb 3.20, 4 Cu 3.20
4 Pb 0.7500 0.7500 0.7500  4 Ho 3.20, 4 Pu 3.20

Computed properties:
- DOS at the Fermi energy: 8.926 states/eV/f.u.
- Formation enthalpy at 0 K: -0.109 eV per atom

---

Entry 3:
DFT (PBE) results for a relaxed Nd5Er2Ru4 crystal.

Cell lengths 3.8916, 7.0298, 11.8474 Å; angles 107.47, 99.45, 90.00 degrees
Last column: nearest neighbours and their distance in Å.
Positions (direct):
1 Nd 0.1281 0.8642 0.2562  3 Ru 2.79-2.95
2 Nd 0.5000 0.0000 0.0000  4 Ru 2.97
3 Nd 0.8719 0.1358 0.7438  3 Ru 2.79-2.95
4 Ru 0.5619 0.5606 0.1238  5 Ru 2.67-2.76, 4 Nd 2.91-2.95
5 Nd 0.8794 0.6260 0.7589  3 Ru 2.81-2.91
6 Er 0.2637 0.2880 0.5274  6 Nd 3.58-3.63, 4 Er 3.77-3.89, 1 Ru 3.89
7 Ru 0.0039 0.6849 0.0079  5 Ru 2.55-2.74, 2 Nd 2.79-2.81
8 Ru 0.9961 0.3151 0.9921  5 Ru 2.55-2.74, 2 Nd 2.79-2.81
9 Ru 0.4381 0.4394 0.8762  5 Ru 2.67-2.76, 4 Nd 2.91-2.95
10 Er 0.7363 0.7120 0.4726  6 Nd 3.58-3.63, 4 Er 3.77-3.89, 1 Ru 3.89
11 Nd 0.1206 0.3740 0.2411  3 Ru 2.81-2.91

Computed properties:
- DOS at the Fermi energy: 13.838 states/eV/f.u.
- Formation enthalpy at 0 K: 0.096 eV per atom

---

Entry 4:
DFT (PBE) results for a relaxed Cs2CdIn crystal.

Cell lengths 6.5757, 6.5757, 6.5757 Å; angles 60.00, 60.00, 60.00 degrees
Last column: nearest neighbours and their distance in Å.
Positions (direct):
1 Cs 0.2500 0.2500 0.2500  4 In 4.03, 4 Cd 4.03
2 In 0.5000 0.5000 0.5000  8 Cs 4.03
3 Cs 0.7500 0.7500 0.7500  4 Cd 4.03, 4 In 4.03
4 Cd 0.0000 0.0000 0.0000  8 Cs 4.03

Computed properties:
- DOS at the Fermi energy: 5.801 states/eV/f.u.
- Formation enthalpy at 0 K: 0.130 eV per atom

---

Entry 5:
DFT (PBE) results for a relaxed HoAlC crystal.

Cell lengths 2.9892, 2.9892, 5.4325 Å; angles 105.97, 105.97, 90.00 degrees
Last column: nearest neighbours and their distance in Å.
Positions (direct):
1 Ho 0.6772 0.6772 0.3544  1 Al 2.73, 5 C 2.88-3.05, 4 Ho 2.99
2 Al 0.9500 0.9500 0.9001  4 C 2.25
3 C 0.3728 0.3728 0.7456  4 Al 2.25

Computed properties:
- Polymorph energy (0 for the lowest one): 719 meV/atom
- DOS at the Fermi energy: 1.235 states/eV/f.u.
- Formation enthalpy at 0 K: 0.461 eV per atom

---

Entry 6:
DFT (PBE) results for a relaxed Cu2ReCl crystal.

Cell lengths 4.7486, 4.7486, 4.7486 Å; angles 132.40, 132.40, 69.60 degrees
Last column: nearest neighbours and their distance in Å.
Positions (direct):
1 Cl 0.7500 0.2500 0.5000  8 Cu 2.71-2.73, 4 Re 2.73
2 Cu 0.2500 0.7500 0.5000  4 Cl 2.71, 4 Re 2.73, 4 Cu 2.73
3 Re 0.5000 0.5000 0.0000  8 Cu 2.71-2.73, 4 Cl 2.73
4 Cu 0.0000 0.0000 0.0000  4 Re 2.71, 4 Cl 2.73, 4 Cu 2.73

Computed properties:
- Polymorph energy (0 for the lowest one): 716 meV/atom
- DOS at the Fermi energy: 3.690 states/eV/f.u.
- Formation energy from raw total energies: 1.0529 eV per atom

---

Entry 7:
DFT (PBE) results for a relaxed AlTc2Os crystal.

Cell lengths 2.7252, 2.7252, 8.7042 Å; angles 90.00, 90.00, 115.56 degrees
Last column: nearest neighbours and their distance in Å.
Positions (direct):
1 Os 0.5000 0.5000 0.7433  2 Al 2.56, 2 Tc 2.68, 4 Os 2.73
2 Al 0.0000 0.0000 0.5012  2 Os 2.56, 2 Tc 2.60, 4 Al 2.73
3 Tc 0.0000 0.0000 0.0024  8 Tc 2.62-2.91, 2 Os 2.68
4 Tc 0.5000 0.5000 0.2531  2 Al 2.60, 8 Tc 2.62-2.91

Computed properties:
- DOS at the Fermi energy: 3.119 states/eV/f.u.
- Formation enthalpy at 0 K: 0.112 eV per atom

---

Entry 8:
DFT (PBE) results for a relaxed PtWCl crystal.

Cell lengths 4.3777, 4.3777, 4.3777 Å; angles 60.00, 60.00, 60.00 degrees
Last column: nearest neighbours and their distance in Å.
Positions (direct):
1 W 0.0000 0.0000 0.0000  4 Pt 2.68
2 Pt 0.2500 0.2500 0.2500  4 Cl 2.68, 4 W 2.68
3 Cl 0.5000 0.5000 0.5000  4 Pt 2.68

Computed properties:
- Polymorph energy (0 for the lowest one): 1183 meV/atom
- DOS at the Fermi energy: 3.350 states/eV/f.u.
- Formation energy from raw total energies: 1.2754 eV per atom

---

Entry 9:
DFT (PBE) results for a relaxed CoAs2Br crystal.

Cell lengths 3.6875, 3.6875, 7.5901 Å; angles 104.08, 104.08, 60.01 degrees
Last column: nearest neighbours and their distance in Å.
Positions (direct):
1 As 0.3688 0.3688 0.6075  3 Co 2.37, 1 Br 2.60
2 Br 0.2500 0.2500 0.2500  2 As 2.60
3 Co 0.7500 0.7500 0.7500  6 As 2.37
4 As 0.1312 0.1312 0.8925  3 Co 2.37, 1 Br 2.60

Computed properties:
- Polymorph energy (0 for the lowest one): 0 meV/atom
- DOS at the Fermi energy: 1.913 states/eV/f.u.
- Formation energy from raw total energies: -0.1247 eV per atom

---

Entry 10:
DFT (PBE) results for a relaxed Ba3BiSb3 crystal.

Cell lengths 7.6185, 11.7114, 14.5590 Å; angles 90.00, 90.00, 108.98 degrees
Last column: nearest neighbours and their distance in Å.
Positions (direct):
1 Ba 0.0095 0.6471 0.3689  4 Sb 3.53-3.82, 1 Bi 3.64
2 Bi 0.5878 0.1755 0.5000  4 Sb 3.03-3.14
3 Sb 0.9420 0.3299 0.8740  1 Bi 3.03
4 Sb 0.8878 0.3299 0.3740  1 Bi 3.03
5 Bi 0.9122 0.8245 0.0000  4 Sb 3.03-3.14
6 Sb 0.1122 0.6701 0.6260  1 Bi 3.03
7 Bi 0.0878 0.1755 0.0000  4 Sb 3.03-3.14
8 Ba 0.4905 0.3529 0.8689  4 Sb 3.53-3.82, 1 Bi 3.64
9 Ba 0.8624 0.3529 0.1311  4 Sb 3.53-3.82, 1 Bi 3.64
10 Sb 0.2336 0.0000 0.8826  2 Bi 3.14, 2 Ba 3.48-3.50
11 Ba 0.9905 0.3529 0.6311  4 Sb 3.53-3.82, 1 Bi 3.64
12 Sb 0.0580 0.6701 0.1260  1 Bi 3.03
13 Sb 0.3878 0.3299 0.1260  1 Bi 3.03
14 Ba 0.1876 0.0000 0.6432  5 Sb 3.48-3.84, 2 Bi 3.71
15 Sb 0.2664 0.0000 0.3826  2 Bi 3.14, 2 Ba 3.48-3.50
16 Bi 0.4122 0.8245 0.5000  4 Sb 3.03-3.14
17 Sb 0.7336 0.0000 0.6174  2 Bi 3.14, 2 Ba 3.48-3.50
18 Ba 0.6876 0.0000 0.8568  5 Sb 3.48-3.84, 2 Bi 3.71
19 Ba 0.8124 0.0000 0.3568  5 Sb 3.48-3.84, 2 Bi 3.71
20 Sb 0.4420 0.3299 0.6260  1 Bi 3.03
21 Ba 0.3124 0.0000 0.1432  5 Sb 3.48-3.84, 2 Bi 3.71
22 Ba 0.5095 0.6471 0.1311  4 Sb 3.53-3.82, 1 Bi 3.64
23 Sb 0.5580 0.6701 0.3740  1 Bi 3.03
24 Sb 0.6122 0.6701 0.8740  1 Bi 3.03
25 Ba 0.3624 0.3529 0.3689  4 Sb 3.53-3.82, 1 Bi 3.64
26 Ba 0.6376 0.6471 0.6311  4 Sb 3.53-3.82, 1 Bi 3.64
27 Sb 0.7664 0.0000 0.1174  2 Bi 3.14, 2 Ba 3.48-3.50
28 Ba 0.1376 0.6471 0.8689  4 Sb 3.53-3.82, 1 Bi 3.64

Computed properties:
- Formation energy from raw total energies: -0.7554 eV per atom

---

Entry 11:
DFT (PBE) results for a relaxed LaMgUO6 crystal.

Cell lengths 5.1216, 5.1216, 10.2599 Å; angles 90.00, 90.00, 90.00 degrees
Last column: nearest neighbours and their distance in Å.
Positions (direct):
1 O 0.1747 0.8253 0.5049  1 U 2.08, 1 Mg 2.16
2 Mg 0.0000 0.0000 0.3338  6 O 2.16-2.21
3 O 0.2084 0.7916 0.1832  1 U 2.12, 1 Mg 2.16, 1 La 2.36
4 O 0.8035 0.1965 0.8094  1 U 2.05, 1 Mg 2.21
5 La 0.0000 0.0000 0.0059  6 O 2.36-2.47
6 O 0.3035 0.3035 0.3094  1 U 2.05, 1 Mg 2.21
7 O 0.7084 0.7084 0.6832  1 U 2.12, 1 Mg 2.16, 1 La 2.36
8 La 0.5000 0.5000 0.5059  6 O 2.36-2.47
9 O 0.3253 0.3253 0.0049  1 U 2.08, 1 Mg 2.16
10 O 0.1965 0.8035 0.8094  1 U 2.05, 1 Mg 2.21
11 Mg 0.5000 0.5000 0.8338  6 O 2.16-2.21
12 O 0.6965 0.6965 0.3094  1 U 2.05, 1 Mg 2.21
13 U 0.5000 0.5000 0.1652  6 O 2.05-2.12
14 O 0.8253 0.1747 0.5049  1 U 2.08, 1 Mg 2.16
15 O 0.2916 0.2916 0.6832  1 U 2.12, 1 Mg 2.16, 1 La 2.36
16 O 0.7916 0.2084 0.1832  1 U 2.12, 1 Mg 2.16, 1 La 2.36
17 O 0.6747 0.6747 0.0049  1 U 2.08, 1 Mg 2.16
18 U 0.0000 0.0000 0.6652  6 O 2.05-2.12

Computed properties:
- DOS at the Fermi energy: 7.829 states/eV/f.u.
- Formation energy from raw total energies: -2.8400 eV per atom

---

Entry 12:
DFT (PBE) results for a relaxed CdNi2W crystal.

Cell lengths 3.4264, 2.7677, 6.7550 Å; angles 65.88, 90.00, 90.00 degrees
Last column: nearest neighbours and their distance in Å.
Positions (direct):
1 Cd 0.5000 0.7500 0.7500  2 Cd 2.77, 8 Ni 2.82, 2 W 3.08
2 Ni 0.0000 0.5374 0.4637  4 W 2.57, 3 Ni 2.63-2.77, 4 Cd 2.82
3 W 0.5000 0.2500 0.2500  8 Ni 2.57, 2 W 2.77
4 Ni 0.0000 0.9626 0.0363  4 W 2.57, 3 Ni 2.63-2.77, 4 Cd 2.82

Computed properties:
- DOS at the Fermi energy: 2.758 states/eV/f.u.
- Formation enthalpy at 0 K: 0.111 eV per atom

---

Entry 13:
DFT (PBE) results for a relaxed Mg3TcAg crystal.

Cell lengths 4.9815, 4.9815, 4.9815 Å; angles 90.00, 90.00, 90.00 degrees
Last column: nearest neighbours and their distance in Å.
Positions (direct):
1 Mg 0.0000 0.5000 0.0000  2 Tc 2.49
2 Mg 0.0000 0.0000 0.5000  2 Tc 2.49
3 Mg 0.5000 0.0000 0.0000  2 Tc 2.49
4 Tc 0.0000 0.0000 0.0000  6 Mg 2.49
5 Ag 0.5000 0.5000 0.5000  12 Mg 3.52

Computed properties:
- Polymorph energy (0 for the lowest one): 0 meV/atom
- DOS at the Fermi energy: 4.071 states/eV/f.u.
- Formation enthalpy at 0 K: 0.837 eV per atom